DFT (GGA-PBE) results for an optimized crystal structure of RhWS2N.

**N(E_F)**: 4.1 states/eV/cell
**E_form (uncorrected)**: 0.55 eV per atom
**Raw total energy**: -6.8247 eV/atom
**Polymorph energy (0 for the lowest one)**: 0.0 kJ per mole of atoms

Unit cell a=4.7635 b=4.7635 c=3.7663 alpha=90.00 beta=90.00 gamma=90.00
Last column: nearest neighbours and their distance in Å.
Space group P4/mmm (No. 123)
One atom of each set of equivalent atoms:
Rh  0.0000  0.0000  0.0000 (multiplicity 1)  8 S 3.04, 4 N 3.37
W  0.5000  0.5000  0.5000 (multiplicity 1)  2 N 1.88
S  0.0000  0.5000  0.5000 (multiplicity 2)  2 W 2.38
N  0.5000  0.5000  0.0000 (multiplicity 1)  2 W 1.88